InPbBr3 | PBE | optimized geometry

Geometry as POSCAR:
```
InPbBr3
1.0
4.455 0.000 0.000
-2.227 7.164 -1.850
0.001 -0.829 12.282
Pb Br In
2 6 2
Direct
0.954 0.751 0.473
0.475 0.794 0.140
0.577 0.998 0.416
0.334 0.512 0.530
0.094 0.033 0.084
0.088 0.021 0.704
0.852 0.548 0.198
0.340 0.525 0.910
0.744 0.331 0.670
0.685 0.214 0.944
```

- Formation energy from raw total energies: -0.804 eV per atom
- Theoretical density: 4.8 g/cm3
- Density of states at the Fermi level: 0.00 states/eV per atom
- Total magnetic moment: 0.00 μB per formula unit